Entry 1:
Al2InPb | PBE | optimized geometry

Lattice parameters (Å, degrees): 3.2081 3.2081 32.3996 90.00 90.00 120.00
Closest atoms and distances in Å follow each position.
Space group R-3m (No. 166, hexagonal axes)
Asymmetric unit:
Al (0.0000, 0.0000, 0.2430) [6 per cell]  3 In 3.09, 6 Al 3.21
In (0.0000, 0.0000, 0.5000) [3 per cell]  6 Al 3.09, 6 In 3.21
Pb (0.0000, 0.0000, 0.0000) [3 per cell]  6 Pb 3.21, 6 Al 3.46

Results
Crystal system: trigonal
Mass density, g/cm3: 6.49
Energy, eV per cell: -39.1
DFT formation energy, meV per atom: 228



Entry 2:
AlIn2Pb | PBE | optimized geometry

Lattice parameters (Å, degrees): 4.7406 5.1097 8.6091 90.00 90.00 90.00
Closest atoms and distances in Å follow each position.
Space group Cmm2 (No. 35)
Asymmetric unit:
Al (0.0000, 0.0000, 0.0000) [2 per cell]  4 In 2.97-3.12, 4 Pb 3.14-3.28
In (0.0000, 0.0000, 0.5284) [2 per cell]  8 In 3.28-3.49, 4 Pb 3.44-3.57
In (0.0000, 0.5000, 0.7923) [2 per cell]  4 Al 2.97-3.12, 2 In 3.28
Pb (0.0000, 0.5000, 0.2393) [2 per cell]  4 Al 3.14-3.28, 2 In 3.44, 4 Pb 3.49

Results
Crystal system: orthorhombic
Mass density, g/cm3: 7.39
Energy, eV per cell: -24.9
DFT formation energy, meV per atom: 118



Entry 3:
AlIn2Pb | PBE | optimized geometry

Lattice parameters (Å, degrees): 4.7207 4.7207 9.4292 90.00 90.00 90.00
Closest atoms and distances in Å follow each position.
Space group I-4m2 (No. 119)
Asymmetric unit:
Al (0.0000, 0.0000, 0.0000) [2 per cell]  8 In 3.34, 4 Pb 3.34
In (0.0000, 0.0000, 0.5000) [2 per cell]  4 In 3.34, 4 Pb 3.34, 4 Al 3.34
In (0.0000, 0.5000, 0.7500) [2 per cell]  4 In 3.34, 4 Al 3.34, 4 Pb 3.34
Pb (0.0000, 0.5000, 0.2500) [2 per cell]  8 In 3.34, 4 Al 3.34

Results
Crystal system: tetragonal
Mass density, g/cm3: 7.33
Energy, eV per cell: -24.5
DFT formation energy, meV per atom: 165



Number 1: offset from the most stable computed form 0.33 eV/f.u., Fermi-level density of states 3.0 states/eV/cell. Number 2: offset from the most stable computed form 0.11 eV/f.u., Fermi-level density of states 2.7 states/eV/cell. Number 3: offset from the most stable computed form 0.29 eV/f.u., Fermi-level density of states 4.9 states/eV/cell.